[1]
A relaxed Na2TmUO6 crystal, computed with GGA-PBE.

**Volume**: 282.0 Å³ per cell
**Space-group type**: P2_1/c
**Spin magnetization**: 1.865 Bohr magnetons per cell
**Formation energy (no corrections)**: -2.655 eV per atom

Cell and atoms, written as POSCAR:
```
Na2TmUO6
1.0
5.775 0.000 -0.014
0.000 5.908 0.000
0.030 0.000 8.264
Tm O Na U
2 12 4 2
Direct
0.500 0.000 0.000
0.000 0.500 0.500
0.290 0.694 0.048
0.210 0.194 0.452
0.405 0.964 0.741
0.905 0.536 0.241
0.311 0.712 0.449
0.710 0.306 0.952
0.811 0.788 0.949
0.689 0.288 0.551
0.095 0.464 0.759
0.595 0.036 0.259
0.189 0.212 0.051
0.790 0.806 0.548
0.507 0.536 0.751
0.007 0.964 0.251
0.993 0.036 0.749
0.493 0.464 0.249
0.000 0.500 0.000
0.500 0.000 0.500
```

[2]
A relaxed Cs3Tl4Au4 crystal, computed with GGA-PBE.

**Volume**: 370.1 Å³ per cell
**Space-group type**: Immm
**Spin magnetization**: 0.000 Bohr magnetons per cell
**ΔE_f**: -0.190 eV per atom

Cell and atoms, written as POSCAR:
```
Cs3Tl4Au4
1.0
4.890 0.000 0.000
0.000 9.070 0.000
-2.445 -4.535 8.344
Cs Tl Au
3 4 4
Direct
0.114 0.114 0.227
0.886 0.886 0.773
0.000 0.500 0.000
0.323 0.131 0.646
0.677 0.485 0.354
0.323 0.515 0.646
0.677 0.869 0.354
0.779 0.279 0.558
0.221 0.721 0.442
0.500 0.780 0.000
0.500 0.220 0.000
```